No. 1
# SnPd2PbAu

A geometry-optimized SnPd2PbAu structure (PBE, the Alexandria database).

For the formation energy, the calculation gives 224 meV/atom. The crystal system is tetragonal. The value obtained for the energy is -4.0504 eV/atom.

Cell: 5.012 5.012 5.125 Å, 90.00 90.00 90.00°
Space group P4/mmm (No. 123)
Asymmetric unit:
1 Sn 0.000 0.000 0.000 [1 per cell]
2 Pd 0.000 0.500 0.000 [2 per cell]
3 Pb 0.500 0.500 0.500 [1 per cell]
4 Au 0.000 0.000 0.500 [1 per cell]


No. 2
# SnPdPbAu

A geometry-optimized SnPdPbAu structure (PBE, the Alexandria database).

For the formation energy, the calculation gives -111 meV/atom. The crystal system is cubic. The value obtained for the energy is -4.1565 eV/atom.

Cell: 7.037 7.037 7.037 Å, 90.00 90.00 90.00°
Space group F-43m (No. 216)
Asymmetric unit:
1 Sn 0.000 0.000 0.000 [4 per cell]
2 Pd 0.250 0.250 0.750 [4 per cell]
3 Pb 0.000 0.000 0.500 [4 per cell]
4 Au 0.250 0.250 0.250 [4 per cell]


No. 3
# Sr2Pd4Pb3Au

A geometry-optimized Sr2Pd4Pb3Au structure (PBE, the Alexandria database).

For the formation energy, the calculation gives -474 meV/atom. The crystal system is tetragonal. The value obtained for the energy is -4.3278 eV/atom.

Cell: 4.780 4.780 10.877 Å, 90.00 90.00 90.00°
Space group P-4m2 (No. 115)
Asymmetric unit:
1 Sr 0.000 0.500 0.245 [2 per cell]
2 Pd 0.000 0.000 0.500 [1 per cell]
3 Pd 0.000 0.500 0.869 [2 per cell]
4 Pd 0.500 0.500 0.500 [1 per cell]
5 Pb 0.000 0.000 0.000 [1 per cell]
6 Pb 0.000 0.500 0.622 [2 per cell]
7 Au 0.500 0.500 0.000 [1 per cell]